# 1
The following is a DFT calculation (SCAN) of HgOs2AuS at its PBEsol-relaxed geometry.

Structure (POSCAR):
```
HgOs2AuS
1.0
-3.522 0.819 3.408
-3.172 -2.800 -2.606
1.487 -4.013 2.501
Os S Au Hg
2 1 1 1
direct
0.000 0.500 0.000
0.500 0.000 0.000
0.500 0.500 0.500
0.000 0.000 0.500
0.000 0.000 0.000
```

Properties
ΔE_f (raw), eV per atom: 2.801
D(E_F), states/eV per cell: 3.648
Raw total energy, eV per atom: -55.341

***

# 2
The following is a DFT calculation (SCAN) of LiTlTc4 at its PBEsol-relaxed geometry.

Structure (POSCAR):
```
LiTlTc4
1.0
5.139 0.000 0.000
2.570 4.451 0.000
2.570 1.484 4.196
Li Tc Tl
1 4 1
direct
0.000 0.000 0.000
0.375 0.375 0.375
0.375 0.375 0.876
0.876 0.375 0.375
0.375 0.876 0.375
0.750 0.750 0.750
```

Properties
Energy of formation, eV/atom: 0.48
D(E_F), states/eV per cell: 4.484
Raw total energy, eV per atom: -35.348

***

# 3
The following is a DFT calculation (SCAN) of LiCu2F6 at its PBEsol-relaxed geometry.

Structure (POSCAR):
```
LiCu2F6
1.0
5.059 0.000 -0.033
2.529 4.395 -0.017
0.065 0.000 8.711
Li Cu F
2 4 12
direct
0.000 0.000 0.250
0.000 0.000 0.750
0.333 0.333 0.500
0.333 0.333 0.000
0.667 0.667 0.000
0.667 0.667 0.500
0.653 0.347 0.618
0.653 0.346 0.118
0.654 0.000 0.882
0.346 0.000 0.618
0.999 0.654 0.618
0.999 0.653 0.118
0.001 0.347 0.882
0.001 0.346 0.382
0.654 0.000 0.382
0.346 0.000 0.118
0.347 0.654 0.882
0.347 0.653 0.382
```

Properties
ΔE_f (raw), eV per atom: -2.027
Excess energy over the best structure of this formula in the dataset, eV per atom: 0.054
D(E_F), states/eV per cell: 8.225
Raw total energy, eV per atom: -8.030

***

# 4
The following is a DFT calculation (SCAN) of CoCuF2 at its PBEsol-relaxed geometry.

Structure (POSCAR):
```
CoCuF2
1.0
-3.274 1.006 -1.784
-0.501 -0.844 -3.735
-2.543 -2.713 -1.042
Co Cu F
1 1 2
direct
0.000 0.000 0.000
0.500 0.500 0.500
0.250 0.250 0.250
0.750 0.750 0.750
```

Properties
ΔE_f (raw), eV per atom: -0.714
D(E_F), states/eV per cell: 3.064
Raw total energy, eV per atom: -10.610

***

# 5
The following is a DFT calculation (SCAN) of Na2Mg2Ag at its PBEsol-relaxed geometry.

Structure (POSCAR):
```
Na2Mg2Ag
1.0
3.839 0.000 0.000
0.000 3.839 0.000
-1.920 -1.920 8.377
Na Mg Ag
2 2 1
direct
0.250 0.750 0.500
0.750 0.250 0.500
0.415 0.415 0.830
0.585 0.585 0.170
0.000 0.000 0.000
```

Properties
Energy of formation, eV/atom: 0.29
D(E_F), states/eV per cell: 2.219
Raw total energy, eV per atom: -9.660

***

# 6
The following is a DFT calculation (SCAN) of ErMgZn2 at its PBEsol-relaxed geometry.

Structure (POSCAR):
```
ErMgZn2
1.0
-3.860 1.307 2.385
-2.430 -3.192 2.490
0.073 0.133 4.720
Zn Mg Er
2 1 1
direct
0.250 0.250 0.250
0.750 0.750 0.750
0.000 0.000 0.000
0.500 0.500 0.500
```

Properties
Energy of formation, eV/atom: -0.41
D(E_F), states/eV per cell: 1.096
Raw total energy, eV per atom: -20.999

***

# 7
The following is a DFT calculation (SCAN) of Cd3Ag at its PBEsol-relaxed geometry.

Structure (POSCAR):
```
Cd3Ag
1.0
3.094 0.000 0.000
-1.547 4.924 0.000
0.000 -0.885 5.030
Ag Cd
1 3
direct
0.000 0.000 0.000
0.746 0.491 0.243
0.500 0.000 0.500
0.254 0.509 0.757
```

Properties
Energy of formation, eV/atom: 0.00
D(E_F), states/eV per cell: 1.216
Raw total energy, eV per atom: -30.657

***

# 8
The following is a DFT calculation (SCAN) of CdInPd2 at its PBEsol-relaxed geometry.

Structure (POSCAR):
```
CdInPd2
1.0
4.557 0.000 0.000
2.278 3.946 0.000
2.278 1.315 3.721
In Pd Cd
1 2 1
direct
0.000 0.000 0.000
0.250 0.250 0.250
0.750 0.750 0.750
0.500 0.500 0.500
```

Properties
Energy of formation, eV/atom: -0.50
D(E_F), states/eV per cell: 1.545
Raw total energy, eV per atom: -32.835